Ba2NaPdRu: relaxed, GGA-PBE.

## Properties
The calculation puts the formation enthalpy at 0 K at 0.375 eV per atom. The value obtained for the size of the total moment is 0.73 μB/f.u.

Unit cell a=6.206 b=6.206 c=4.885 alpha=90.00 beta=90.00 gamma=90.00
Space group P4/mmm (No. 123)
One atom of each set of equivalent atoms:
Ba  0.000  0.500  0.000 (multiplicity 2)
Na  0.000  0.000  0.500 (multiplicity 1)
Pd  0.500  0.500  0.000 (multiplicity 1)
Ru  0.500  0.500  0.500 (multiplicity 1)